Below is an optimized crystal structure of Na2Cu2WO6, with properties calculated at the PBE+U level.

Results
Calculated total energy in hartree per atom: -0.2079
Space-group type: P-31m

a = 5.2508 Å, b = 5.2508 Å, c = 5.5687 Å
α = 90.00°, β = 90.00°, γ = 120.00°
Closest atoms and distances in Å follow each position.
Fractional coordinates of all 11 atoms:
Na  0.3333  0.6667  0.0000  6 O 2.47
Na  0.6667  0.3333  0.0000  6 O 2.47
Cu  0.3333  0.6667  0.5000  6 O 2.13
Cu  0.6667  0.3333  0.5000  6 O 2.13
W  0.0000  0.0000  0.5000  6 O 1.97
O  0.0000  0.3099  0.3003  1 W 1.97, 2 Cu 2.13
O  0.0000  0.6901  0.6997  1 W 1.97, 2 Cu 2.13
O  0.3099  0.0000  0.3003  1 W 1.97, 2 Cu 2.13
O  0.3099  0.3099  0.6997  1 W 1.97, 2 Cu 2.13
O  0.6901  0.0000  0.6997  1 W 1.97, 2 Cu 2.13
O  0.6901  0.6901  0.3003  1 W 1.97, 2 Cu 2.13